DFT (PBE) results for an optimized crystal structure of PrAl4Au2.

Summary:
E above lowest polymorph	70	meV per atom
formation energy	-0.52	eV/atom
spin magnetization	0.0	μB/f.u.

Cell: 4.0906 8.1784 8.1784 Å, 90.00 90.00 90.00°
Atoms (fractional coordinates):
Al 0.0000 0.6616 0.9188
Al 0.0000 0.9188 0.6616
Au 0.0000 0.2123 0.7877
Pr 0.0000 0.5000 0.5000
Al 0.5000 0.1616 0.5812
Al 0.5000 0.4188 0.8384
Al 0.0000 0.0812 0.3384
Au 0.0000 0.7877 0.2123
Au 0.5000 0.2877 0.2877
Al 0.5000 0.8384 0.4188
Al 0.5000 0.5812 0.1616
Au 0.5000 0.7123 0.7123
Pr 0.5000 0.0000 0.0000
Al 0.0000 0.3384 0.0812